Record 1
A geometry-optimized SrCrFe structure, computed with GGA-PBE.

## Properties
- Energy relative to the elements: 1.9 eV per formula unit
- Energy relative to the lowest polymorph listed for this composition: 0.000 eV per atom
- Density: 4.667 Mg/m³
- Symmetry: No. 187

abc: 3.943 3.943 5.164
angles: 90.00 90.00 120.00
Positions (direct):
Sr1 0.000 0.000 0.000
Cr1 0.667 0.333 0.500
Fe1 0.333 0.667 0.500

Record 2
A geometry-optimized SrCr3Fe structure, computed with GGA-PBE.

## Properties
- Energy relative to the elements: 16.1 eV per formula unit
- Energy relative to the lowest polymorph listed for this composition: 2.321 eV per atom
- Density: 6.001 Mg/m³
- Symmetry: No. 221

abc: 4.360 4.360 4.360
angles: 90.00 90.00 90.00
Positions (direct):
Sr1 0.000 0.000 0.000
Cr1 0.000 0.000 0.500
Cr2 0.000 0.500 0.000
Cr3 0.500 0.000 0.000
Fe1 0.500 0.500 0.500

Record 3
A geometry-optimized SrCr4Fe structure, computed with GGA-PBE.

## Properties
- Energy relative to the elements: 5.4 eV per formula unit
- Density: 6.488 Mg/m³
- Symmetry: No. 216

abc: 5.029 5.029 5.029
angles: 60.00 60.00 60.00
Positions (direct):
Sr1 0.000 0.000 0.000
Cr1 0.128 0.624 0.624
Cr2 0.624 0.128 0.624
Cr3 0.624 0.624 0.128
Cr4 0.624 0.624 0.624
Fe1 0.250 0.250 0.250

Record 4
A geometry-optimized SrCr2Fe structure, computed with GGA-PBE.

## Properties
- Energy relative to the elements: 5.2 eV per formula unit
- Energy relative to the lowest polymorph listed for this composition: 0.743 eV per atom
- Density: 5.203 Mg/m³
- Symmetry: No. 65

abc: 5.181 5.181 3.090
angles: 90.00 90.00 107.79
Positions (direct):
Sr1 0.000 0.000 0.000
Cr1 0.000 0.500 0.500
Cr2 0.500 0.000 0.500
Fe1 0.500 0.500 0.000

Record 5
A geometry-optimized SrCrFe2 structure, computed with GGA-PBE.

## Properties
- Energy relative to the elements: 2.6 eV per formula unit
- Energy relative to the lowest polymorph listed for this composition: 0.207 eV per atom
- Density: 5.092 Mg/m³
- Symmetry: No. 6

abc: 3.667 3.808 6.144
angles: 90.00 107.26 90.00
Positions (direct):
Sr1 0.000 0.000 0.000
Cr1 0.730 0.500 0.455
Fe1 0.259 0.000 0.508
Fe2 0.357 0.500 0.711

Record 6
A geometry-optimized SrCrFe2 structure, computed with GGA-PBE.

## Properties
- Energy relative to the elements: 3.9 eV per formula unit
- Energy relative to the lowest polymorph listed for this composition: 0.533 eV per atom
- Density: 5.915 Mg/m³
- Symmetry: No. 123

abc: 4.863 4.863 2.983
angles: 90.00 90.00 90.00
Positions (direct):
Sr1 0.000 0.000 0.000
Cr1 0.500 0.500 0.000
Fe1 0.000 0.500 0.500
Fe2 0.500 0.000 0.500

Record 7
A geometry-optimized SrCr2Fe structure, computed with GGA-PBE.

## Properties
- Energy relative to the elements: 2.2 eV per formula unit
- Energy relative to the lowest polymorph listed for this composition: 0.000 eV per atom
- Density: 4.968 Mg/m³
- Symmetry: No. 8

abc: 4.079 4.079 6.205
angles: 109.24 109.24 60.05
Positions (direct):
Sr1 0.000 0.000 0.000
Cr1 0.198 0.198 0.592
Cr2 0.492 0.492 0.476
Fe1 0.801 0.801 0.404

Record 8
A geometry-optimized SrCr2Fe structure, computed with GGA-PBE.

## Properties
- Energy relative to the elements: 4.9 eV per formula unit
- Energy relative to the lowest polymorph listed for this composition: 0.666 eV per atom
- Density: 4.984 Mg/m³
- Symmetry: No. 123

abc: 4.347 4.347 4.362
angles: 90.00 90.00 90.00
Positions (direct):
Sr1 0.000 0.000 0.000
Cr1 0.000 0.500 0.500
Cr2 0.500 0.000 0.500
Fe1 0.500 0.500 0.000